# 1
First-principles (PBE) data for a geometry-optimized Cu2TcBr structure, as listed in Alexandria via LeMat-Bulk.

The calculation puts the size of the total moment at 2.002 Bohr magnetons per cell. The value obtained for the uncorrected formation energy is 0.879 eV/atom. The value obtained for the density of states at the Fermi level is 0.87 states/eV/atom. The offset from the most stable computed form comes out at 366 meV per atom. For the total energy, the calculation gives -4.18 eV per atom.

Cell and atoms, written as CIF:
```
data_Cu2TcBr
_chemical_formula_sum 'Cu2 Tc1 Br1'
_cell_length_a 3.8438
_cell_length_b 3.8438
_cell_length_c 4.1539
_cell_angle_alpha 90.00
_cell_angle_beta 90.00
_cell_angle_gamma 90.00
_space_group_name_H-M_alt 'P 4/m m m'
_space_group_IT_number 123
_space_group_name_Hall '-P 4 2'
loop_
_atom_site_label
_atom_site_fract_x
_atom_site_fract_y
_atom_site_fract_z
_atom_site_occupancy
Cu1 0.0000 0.5000 0.0000 1
Tc1 0.0000 0.0000 0.5000 1
Br1 0.5000 0.5000 0.5000 1
```

***

# 2
First-principles (PBE) data for a geometry-optimized DyTh4Se5 structure, as listed in Alexandria via LeMat-Bulk.

The calculation puts the size of the total moment at 0.000 Bohr magnetons per cell. The value obtained for the uncorrected formation energy is -1.574 eV/atom. The value obtained for the density of states at the Fermi level is 0.77 states/eV/atom. For the total energy, the calculation gives -6.74 eV per atom.

Cell and atoms, written as CIF:
```
data_DyTh4Se5
_chemical_formula_sum 'Dy2 Th8 Se10'
_cell_length_a 9.3522
_cell_length_b 9.3522
_cell_length_c 5.9102
_cell_angle_alpha 90.00
_cell_angle_beta 90.00
_cell_angle_gamma 90.00
_space_group_name_H-M_alt 'I 4/m'
_space_group_IT_number 87
_space_group_name_Hall '-I 4'
loop_
_atom_site_label
_atom_site_fract_x
_atom_site_fract_y
_atom_site_fract_z
_atom_site_occupancy
Dy1 0.0000 0.0000 0.0000 1
Th1 0.0954 0.6940 0.5000 1
Se1 0.0000 0.0000 0.5000 1
Se2 0.1018 0.7111 0.0000 1
```